(1)
{"formula": "EuTmGaCu", "functional": "PBE-GGA", "state": "relaxed", "mass_density_kg_m3": 8232, "formation_energy_ev_per_atom": -0.31, "sg": "F-43m (216)", "cell": [[0.0000, 3.5780, 3.5780], [3.5780, 0.0000, 3.5780], [3.5780, 3.5780, 0.0000]], "species": ["Eu", "Tm", "Ga", "Cu"], "fractional_positions": [[0.0000, 0.0000, 0.0000], [0.5000, 0.5000, 0.5000], [0.7500, 0.7500, 0.7500], [0.2500, 0.2500, 0.2500]]}



(2)
{"formula": "EuZnGaCu", "functional": "PBE-GGA", "state": "relaxed", "mass_density_kg_m3": 7728, "formation_energy_ev_per_atom": -0.19, "sg": "F-43m (216)", "cell": [[0.0000, 3.3522, 3.3522], [3.3522, 0.0000, 3.3522], [3.3522, 3.3522, 0.0000]], "species": ["Eu", "Zn", "Ga", "Cu"], "fractional_positions": [[0.0000, 0.0000, 0.0000], [0.7500, 0.7500, 0.7500], [0.5000, 0.5000, 0.5000], [0.2500, 0.2500, 0.2500]]}



(3)
{"formula": "Eu2GdCu", "functional": "PBE-GGA", "state": "relaxed", "mass_density_kg_m3": 6716, "formation_energy_ev_per_atom": 0.25, "sg": "R-3m (166)", "cell": [[1.8294, 1.0562, 11.1905], [-1.8294, 1.0562, 11.1905], [0.0000, -2.1125, 11.1905]], "species": ["Eu", "Eu", "Gd", "Cu"], "fractional_positions": [[0.1035, 0.1035, 0.1035], [0.8965, 0.8965, 0.8965], [0.0000, 0.0000, 0.0000], [0.5000, 0.5000, 0.5000]]}



(4)
{"formula": "EuGdCu", "functional": "PBE-GGA", "state": "relaxed", "mass_density_kg_m3": 7516, "formation_energy_ev_per_atom": -0.07, "sg": "I4mm (107)", "de_polymorph_kj_per_mol_fu": 0, "cell": [[-1.7957, 1.7957, 6.3850], [1.7957, -1.7957, 6.3850], [1.7957, 1.7957, -6.3850]], "species": ["Eu", "Gd", "Cu"], "fractional_positions": [[0.0000, 0.0000, 0.0000], [0.2708, 0.2708, 0.0000], [0.6518, 0.6518, 0.0000]]}



no.,total energy (eV/cell),M_tot (μB/atom)
1,-23.11,1.693
2,-19.42,1.720
3,-37.71,1.759
4,-28.67,4.916